Density functional theory data (meta-GGA SCAN) for BaMnCO3F2 at its PBEsol-relaxed geometry.

Results
Crystal system: hexagonal
Formation energy without anion corrections, meV per atom: -2654
Space group: P6_3/m

abc: 4.906 4.906 9.750
angles: 90.00 90.00 120.00
Site moments in Bohr magnetons follow the coordinates.
Sites, in units of the cell vectors:
Ba1 0.000 0.000 0.500  0.00
Ba2 0.000 0.000 0.000  0.00
Mn1 0.667 0.333 0.750  4.57
Mn2 0.333 0.667 0.250  4.57
C1 0.667 0.333 0.250  0.01
C2 0.333 0.667 0.750  0.01
O1 0.119 0.746 0.750  0.04
O2 0.746 0.627 0.250  0.04
O3 0.254 0.373 0.750  0.04
O4 0.881 0.254 0.250  0.04
O5 0.627 0.881 0.750  0.04
O6 0.373 0.119 0.250  0.04
F1 0.667 0.333 0.541  0.04
F2 0.333 0.667 0.041  0.04
F3 0.667 0.333 0.959  0.04
F4 0.333 0.667 0.459  0.04

---

Density functional theory data (meta-GGA SCAN) for Cr2CdPt at its PBEsol-relaxed geometry.

Results
Crystal system: monoclinic
Space group: C2/m
ΔE_f, meV per atom: 229

abc: 2.815 4.737 4.841
angles: 101.22 106.90 90.00
Sites, in units of the cell vectors:
Cd1 0.000 0.500 0.000
Cr1 0.240 0.165 0.480
Cr2 0.760 0.835 0.520
Pt1 0.500 0.000 0.000

---

Density functional theory data (meta-GGA SCAN) for TaCoPt2 at its PBEsol-relaxed geometry.

Results
Crystal system: orthorhombic
Space group: Cmmm
ΔE_f, meV per atom: -506
E above lowest polymorph, eV per atom: 0.182

abc: 2.745 4.752 4.752
angles: 110.62 90.00 90.00
Site moments in Bohr magnetons follow the coordinates.
Sites, in units of the cell vectors:
Co1 0.500 0.500 0.500  2.03
Pt1 0.000 0.500 0.000  0.10
Pt2 0.000 0.000 0.500  0.10
Ta1 0.500 0.000 0.000  -0.04

---

Repeat the first record exactly.
Density functional theory data (meta-GGA SCAN) for BaMnCO3F2 at its PBEsol-relaxed geometry.

Results
Crystal system: hexagonal
Formation energy without anion corrections, meV per atom: -2654
Space group: P6_3/m

abc: 4.906 4.906 9.750
angles: 90.00 90.00 120.00
Site moments in Bohr magnetons follow the coordinates.
Sites, in units of the cell vectors:
Ba1 0.000 0.000 0.500  0.00
Ba2 0.000 0.000 0.000  0.00
Mn1 0.667 0.333 0.750  4.57
Mn2 0.333 0.667 0.250  4.57
C1 0.667 0.333 0.250  0.01
C2 0.333 0.667 0.750  0.01
O1 0.119 0.746 0.750  0.04
O2 0.746 0.627 0.250  0.04
O3 0.254 0.373 0.750  0.04
O4 0.881 0.254 0.250  0.04
O5 0.627 0.881 0.750  0.04
O6 0.373 0.119 0.250  0.04
F1 0.667 0.333 0.541  0.04
F2 0.333 0.667 0.041  0.04
F3 0.667 0.333 0.959  0.04
F4 0.333 0.667 0.459  0.04